Compound: NdSmErZn
Source: the Alexandria database
Functional: PBE-GGA
Structure: optimized geometry

POSCAR file:
```
NdSmErZn
1.0
3.609 0.000 0.000
0.000 3.609 0.000
0.000 0.000 8.739
Nd Sm Er Zn
1 1 1 1
Cartesian
0.000 0.000 0.000 Nd
1.804 1.804 6.096 Sm
1.804 1.804 2.544 Er
0.000 0.000 4.208 Zn
```

Output
- crystal system = tetragonal
- total magnetic moment (μB/f.u.) = 0.00
- space group = P4mm
- calculated volume (Å³/f.u.) = 113.8
- ΔH_f (0 K) (eV/f.u.) = -0.63


Compound: AlAsN2O
Source: the Alexandria database
Functional: PBE-GGA
Structure: optimized geometry

POSCAR file:
```
AlAsN2O
1.0
3.859 0.000 0.000
0.000 3.859 0.000
0.000 0.000 3.620
Al As N O
1 1 2 1
Cartesian
0.000 0.000 0.000 Al
1.930 1.930 1.810 As
0.000 1.930 0.000 N
1.930 0.000 0.000 N
0.000 0.000 1.810 O
```

Output
- crystal system = tetragonal
- total magnetic moment (μB/f.u.) = 1.54
- uncorrected formation energy (eV per atom) = 0.32
- space group = P4/mmm
- calculated volume (Å³/f.u.) = 53.9


Compound: GePPbO2
Source: the Alexandria database
Functional: PBE-GGA
Structure: optimized geometry

POSCAR file:
```
GePPbO2
1.0
4.173 0.000 0.000
0.000 4.173 0.000
0.000 0.000 5.442
Ge P Pb O
1 1 1 2
Cartesian
0.000 0.000 0.000 Ge
2.087 2.087 0.000 P
2.087 2.087 2.721 Pb
0.000 2.087 2.721 O
2.087 0.000 2.721 O
```

Output
- crystal system = tetragonal
- total magnetic moment (μB/f.u.) = 0.03
- uncorrected formation energy (eV per atom) = 0.23
- space group = P4/mmm
- calculated volume (Å³/f.u.) = 94.8